First-principles (PBE) data for crystalline Pr7Tl4Bi at its relaxed geometry, as listed in the Alexandria database.

* energy relative to the elements: -0.2832 eV/atom
* M_tot: 0.003 Bohr magnetons per cell
* mass density: 8525 kg/m³
* calculated total energy: -4.18 eV/atom

abc: 6.119 9.563 8.107
angles: 65.45 67.83 71.34
Fractional positions:
1 Pr 0.823 0.871 0.484
2 Pr 0.177 0.129 0.516
3 Pr 0.074 0.596 0.256
4 Pr 0.926 0.404 0.744
5 Pr 0.243 0.724 0.789
6 Pr 0.500 0.000 0.000
7 Pr 0.757 0.276 0.211
8 Tl 0.536 0.315 0.614
9 Tl 0.464 0.685 0.386
10 Tl 0.689 0.659 0.964
11 Tl 0.311 0.341 0.036
12 Bi 0.000 0.000 0.000

First-principles (PBE) data for crystalline PrTlBi3 at its relaxed geometry, as listed in the Alexandria database.

* energy relative to the elements: -0.3345 eV/atom
* M_tot: 0.000 Bohr magnetons per cell
* mass density: 9956 kg/m³
* calculated total energy: -4.09 eV/atom

abc: 4.413 8.440 8.767
angles: 83.34 90.00 90.00
Fractional positions:
1 Pr 0.750 0.222 0.730
2 Pr 0.250 0.778 0.270
3 Tl 0.250 0.556 0.856
4 Tl 0.750 0.444 0.144
5 Bi 0.750 0.066 0.377
6 Bi 0.250 0.934 0.623
7 Bi 0.250 0.134 0.036
8 Bi 0.750 0.616 0.550
9 Bi 0.250 0.384 0.450
10 Bi 0.750 0.866 0.964

First-principles (PBE) data for crystalline PrTlBi2 at its relaxed geometry, as listed in the Alexandria database.

* energy relative to the elements: -0.2729 eV/atom
* M_tot: 0.000 Bohr magnetons per cell
* mass density: 8629 kg/m³
* calculated total energy: -4.00 eV/atom

abc: 5.252 5.252 6.856
angles: 67.48 67.48 60.00
Fractional positions:
1 Pr 0.671 0.671 0.988
2 Tl 0.490 0.490 0.530
3 Bi 0.083 0.083 0.750
4 Bi 0.256 0.256 0.232